Entry 1:
Entry from the Alexandria database: an optimized crystal structure of CaCoC2 (GGA-PBE). Values from VASP.

```
&SYSTEM
  ibrav = 0, nat = 4, ntyp = 3
/
ATOMIC_SPECIES
Ca 40.08 Ca.upf
Co 58.93 Co.upf
C 12.01 C.upf
CELL_PARAMETERS angstrom
0.000 2.775 2.775
2.775 0.000 2.775
2.775 2.775 0.000
ATOMIC_POSITIONS angstrom
Ca 0.000 0.000 0.000
Co 2.775 2.775 2.775
C 1.388 1.388 1.388
C 4.163 4.163 4.163
```

For the calculated total energy, the calculation gives -22.02 eV/f.u. As for the formation energy from the elements: 1385 meV/atom. The calculated volume is 10.69 Å³ per atom.

Entry 2:
Entry from the Alexandria database: an optimized crystal structure of Ho2Tm3Tl3 (GGA-PBE). Values from VASP.

```
&SYSTEM
  ibrav = 0, nat = 8, ntyp = 3
/
ATOMIC_SPECIES
Ho 164.93 Ho.upf
Tm 168.93 Tm.upf
Tl 204.38 Tl.upf
CELL_PARAMETERS angstrom
-2.640 -2.405 2.536
2.320 -4.071 -1.445
6.732 4.223 7.229
ATOMIC_POSITIONS angstrom
Ho 1.818 -0.732 4.981
Ho 4.593 -1.521 3.340
Tm 1.406 -3.003 2.399
Tm 5.005 0.750 5.921
Tm -1.320 -1.202 1.268
Tl 1.664 0.249 1.968
Tl 1.160 -2.035 -0.722
Tl 4.747 -2.502 6.352
```

For the calculated total energy, the calculation gives -31.47 eV/f.u. As for the formation energy from the elements: -225 meV/atom. The calculated volume is 27.46 Å³ per atom.

What is the formula in the second record?
Ho2Tm3Tl3